Entry 1:
This record from the Alexandria database describes an optimized crystal structure of Nd3Cd2Rh4. The functional is PBE-GGA.

Calculated values
DOS(E_F) = 6.39 states/eV/f.u.

Unit cell a=10.053 b=4.528 c=8.827 alpha=90.00 beta=93.50 gamma=90.00
Space group C2/m (No. 12)
Inequivalent atoms, fractional coordinates:
Nd1 0.000 0.000 0.000
Nd2 0.129 0.500 0.381
Cd1 0.176 0.500 0.775
Rh1 0.081 0.000 0.625
Rh2 0.222 0.500 0.086

***

Entry 2:
This record from the Alexandria database describes an optimized crystal structure of Ce3TcPt. The functional is PBE-GGA.

Calculated values
DOS(E_F) = 8.96 states/eV/f.u.
offset from the most stable computed form = 0 meV per atom

Unit cell a=11.799 b=5.157 c=8.061 alpha=90.00 beta=95.10 gamma=90.00
Space group C2/m (No. 12)
Inequivalent atoms, fractional coordinates:
Ce1 0.035 0.000 0.340
Ce2 0.138 0.500 0.897
Ce3 0.231 0.500 0.334
Tc1 0.118 0.500 0.559
Pt1 0.118 0.000 0.994

***

Entry 3:
This record from the Alexandria database describes an optimized crystal structure of SrAc8Sm2. The functional is PBE-GGA.

Calculated values
DOS(E_F) = 18.51 states/eV/f.u.

Unit cell a=5.880 b=9.963 c=16.780 alpha=90.00 beta=90.00 gamma=90.00
Space group Immm (No. 71)
Inequivalent atoms, fractional coordinates:
Sr1 0.000 0.000 0.000
Ac1 0.000 0.186 0.500
Ac2 0.000 0.289 0.163
Ac3 0.000 0.500 0.350
Sm1 0.000 0.000 0.296

***

Entry 4:
This record from the Alexandria database describes an optimized crystal structure of Li2ReRh2. The functional is PBE-GGA.

Calculated values
DOS(E_F) = 4.00 states/eV/f.u.
offset from the most stable computed form = 100 meV per atom

Unit cell a=6.895 b=6.895 c=2.785 alpha=90.00 beta=90.00 gamma=90.00
Space group P4/mbm (No. 127)
Inequivalent atoms, fractional coordinates:
Li1 0.136 0.364 0.000
Re1 0.000 0.000 0.500
Rh1 0.163 0.663 0.500

***

| no. | energy of formation from the pure elements (eV/f.u.) |
| --- | --- |
| 1 | -4.6 |
| 2 | -2.2 |
| 3 | 1.5 |
| 4 | 1.1 |